Record 1
Below is a relaxed Ba2Sn3Pd5 crystal, with properties calculated at the PBE level.

a = 11.2622 Å, b = 12.9465 Å, c = 6.6061 Å
α = 90.00°, β = 90.00°, γ = 90.00°
Last column: nearest neighbours and their distance in Å.
Space group Ibam (No. 72)
Inequivalent atoms, fractional coordinates:
Ba (0.2329, 0.1315, 0.0000) x8  10 Pd 3.29-3.66, 3 Sn 3.52-3.63
Sn (0.0000, 0.5000, 0.2500) x4  6 Pd 2.81-2.83
Sn (0.0989, 0.1395, 0.5000) x8  5 Pd 2.69-2.73
Pd (0.0000, 0.0000, 0.2500) x4  4 Sn 2.69
Pd (0.0000, 0.2817, 0.2500) x8  3 Sn 2.71-2.83, 2 Pd 2.86
Pd (0.1616, 0.3949, 0.0000) x8  3 Sn 2.73-2.81, 2 Pd 2.86

Summary:
- DFT total energy (eV per atom) = -4.83

---

Record 2
Below is a relaxed BaSn12Pd4 crystal, with properties calculated at the PBE level.

a = 9.5791 Å, b = 9.5791 Å, c = 9.5791 Å
α = 90.00°, β = 90.00°, γ = 90.00°
Last column: nearest neighbours and their distance in Å.
Space group Im-3 (No. 204)
Inequivalent atoms, fractional coordinates:
Ba (0.0000, 0.0000, 0.0000) x2  12 Sn 3.66
Sn (0.0000, 0.3467, 0.1611) x24  2 Pd 2.71, 1 Sn 2.94
Pd (0.2500, 0.2500, 0.2500) x8  6 Sn 2.71

Summary:
- DFT total energy (eV per atom) = -4.53

---

Record 3
Below is a relaxed Ba3Sn2Pd7 crystal, with properties calculated at the PBE level.

a = 5.9848 Å, b = 5.9848 Å, c = 26.4934 Å
α = 90.00°, β = 90.00°, γ = 120.00°
Last column: nearest neighbours and their distance in Å.
Space group R-3m (No. 166, hexagonal axes)
Inequivalent atoms, fractional coordinates:
Ba (0.0000, 0.0000, 0.0000) x3  6 Sn 3.46, 12 Pd 3.66, 2 Ba 3.73
Ba (0.0000, 0.0000, 0.1407) x6  12 Pd 3.40-3.52, 4 Ba 3.72-3.73
Sn (0.0000, 0.0000, 0.3312) x6  6 Pd 2.70-2.75
Pd (0.0000, 0.0000, 0.5000) x3  6 Pd 2.87
Pd (0.0062, 0.5031, 0.0795) x18  2 Sn 2.70-2.75, 3 Pd 2.87-2.94

Summary:
- DFT total energy (eV per atom) = -4.76

---

Record 4
Below is a relaxed Ba2Sn5Pd crystal, with properties calculated at the PBE level.

a = 6.6669 Å, b = 6.6669 Å, c = 11.7846 Å
α = 90.00°, β = 90.00°, γ = 90.00°
Last column: nearest neighbours and their distance in Å.
Space group I4mm (No. 107)
Inequivalent atoms, fractional coordinates:
Ba (0.0000, 0.5000, 0.0000) x4  10 Sn 3.48-3.86, 2 Pd 3.87
Sn (0.0000, 0.0000, 0.4166) x2  4 Sn 3.05
Sn (0.2370, 0.2370, 0.2405) x8  1 Pd 2.71
Pd (0.0000, 0.0000, 0.8338) x2  4 Sn 2.71

Summary:
- DFT total energy (eV per atom) = -4.10

---

Record 5
Below is a relaxed Ba8Sn2Pd crystal, with properties calculated at the PBE level.

a = 21.7812 Å, b = 5.8583 Å, c = 7.9797 Å
α = 90.00°, β = 105.04°, γ = 90.00°
Last column: nearest neighbours and their distance in Å.
Space group C2/m (No. 12)
Inequivalent atoms, fractional coordinates:
Ba (0.0317, 0.0000, 0.3016) x4  2 Pd 3.48, 1 Sn 3.64, 1 Ba 3.77
Ba (0.0924, 0.5000, 0.9206) x4  1 Pd 3.44
Ba (0.1537, 0.5000, 0.4544) x4  1 Pd 3.46, 3 Sn 3.65-3.71
Ba (0.2128, 0.0000, 0.7988) x4  3 Sn 3.56-3.66, 1 Ba 3.95
Sn (0.1891, 0.0000, 0.2238) x4  7 Ba 3.56-3.71
Pd (0.0000, 0.5000, 0.5000) x2  8 Ba 3.44-3.48

Summary:
- DFT total energy (eV per atom) = -2.98

---

Record 6
Below is a relaxed Ba3Sn8Pd3 crystal, with properties calculated at the PBE level.

a = 4.7995 Å, b = 11.8036 Å, c = 14.0916 Å
α = 90.00°, β = 90.00°, γ = 90.00°
Last column: nearest neighbours and their distance in Å.
Space group Immm (No. 71)
Inequivalent atoms, fractional coordinates:
Ba (0.0000, 0.0000, 0.0000) x2  12 Sn 3.71-3.79, 4 Pd 3.82
Ba (0.0000, 0.0000, 0.3306) x4  4 Pd 3.39-3.78, 8 Sn 3.53-3.68
Sn (0.0000, 0.2928, 0.1099) x8  3 Pd 2.89-2.90, 3 Sn 3.10-3.15
Sn (0.0000, 0.3661, 0.3331) x8  1 Pd 2.73
Pd (0.0000, 0.2482, 0.5000) x4  6 Sn 2.73-2.90
Pd (0.0000, 0.5000, 0.0000) x2  4 Sn 2.89

Summary:
- DFT total energy (eV per atom) = -4.32

---

Record 7
Below is a relaxed Ba3Sn2Pd9 crystal, with properties calculated at the PBE level.

a = 4.4848 Å, b = 10.7658 Å, c = 13.8168 Å
α = 90.00°, β = 90.00°, γ = 90.00°
Last column: nearest neighbours and their distance in Å.
Space group Immm (No. 71)
Inequivalent atoms, fractional coordinates:
Ba (0.0000, 0.0000, 0.0000) x2  4 Pd 3.30
Ba (0.0000, 0.0000, 0.2947) x4  10 Pd 3.21-3.58, 2 Sn 3.58
Sn (0.0000, 0.2024, 0.5000) x4  6 Pd 2.68-2.92
Pd (0.0000, 0.2750, 0.1050) x8  2 Sn 2.68, 5 Pd 2.70-2.90
Pd (0.0000, 0.2982, 0.3026) x8  5 Pd 2.70-2.87, 1 Sn 2.92
Pd (0.0000, 0.5000, 0.0000) x2  4 Pd 2.82, 4 Sn 3.13

Summary:
- DFT total energy (eV per atom) = -4.83

---

Record 8
Below is a relaxed BaSn6Pd crystal, with properties calculated at the PBE level.

a = 6.8445 Å, b = 6.8445 Å, c = 18.0158 Å
α = 90.00°, β = 90.00°, γ = 120.00°
Last column: nearest neighbours and their distance in Å.
Space group R-3m (No. 166, hexagonal axes)
Inequivalent atoms, fractional coordinates:
Ba (0.0000, 0.0000, 0.0000) x3  12 Sn 3.74
Sn (0.0426, 0.5213, 0.9175) x18  1 Pd 2.70, 3 Sn 2.98-3.02
Pd (0.0000, 0.0000, 0.5000) x3  6 Sn 2.70

Summary:
- DFT total energy (eV per atom) = -4.19

---

Record 9
Below is a relaxed BaSn3Pd2 crystal, with properties calculated at the PBE level.

a = 11.7414 Å, b = 8.8119 Å, c = 5.9206 Å
α = 90.00°, β = 90.00°, γ = 90.00°
Last column: nearest neighbours and their distance in Å.
Space group Cmcm (No. 63)
Inequivalent atoms, fractional coordinates:
Ba (0.0000, 0.1586, 0.2500) x4  11 Sn 3.56-3.97
Sn (0.0000, 0.4375, 0.7500) x4  4 Pd 2.82, 4 Sn 2.99-3.16
Sn (0.1912, 0.2135, 0.7500) x8  4 Pd 2.72-2.93, 1 Sn 2.99
Pd (0.1992, 0.5000, 0.0000) x8  6 Sn 2.72-2.93, 2 Pd 2.96

Summary:
- DFT total energy (eV per atom) = -4.61

---

Record 10
Below is a relaxed Ba3Sn4Pd4 crystal, with properties calculated at the PBE level.

a = 4.7299 Å, b = 4.8057 Å, c = 27.2404 Å
α = 90.00°, β = 90.00°, γ = 90.00°
Last column: nearest neighbours and their distance in Å.
Space group Immm (No. 71)
Inequivalent atoms, fractional coordinates:
Ba (0.0000, 0.0000, 0.0000) x2  4 Sn 3.61, 8 Pd 3.64
Ba (0.0000, 0.5000, 0.3542) x4  6 Pd 3.53-3.66, 8 Sn 3.61-3.73
Sn (0.0000, 0.0000, 0.2496) x4  4 Pd 2.76-2.78
Sn (0.0000, 0.5000, 0.0987) x4  3 Pd 2.70-2.71
Pd (0.0000, 0.0000, 0.4493) x4  2 Sn 2.70, 1 Pd 2.76
Pd (0.0000, 0.5000, 0.1982) x4  5 Sn 2.71-2.78

Summary:
- DFT total energy (eV per atom) = -4.53

---

Please write out number 6 again, unchanged.
Below is a relaxed Ba3Sn8Pd3 crystal, with properties calculated at the PBE level.

a = 4.7995 Å, b = 11.8036 Å, c = 14.0916 Å
α = 90.00°, β = 90.00°, γ = 90.00°
Last column: nearest neighbours and their distance in Å.
Space group Immm (No. 71)
Inequivalent atoms, fractional coordinates:
Ba (0.0000, 0.0000, 0.0000) x2  12 Sn 3.71-3.79, 4 Pd 3.82
Ba (0.0000, 0.0000, 0.3306) x4  4 Pd 3.39-3.78, 8 Sn 3.53-3.68
Sn (0.0000, 0.2928, 0.1099) x8  3 Pd 2.89-2.90, 3 Sn 3.10-3.15
Sn (0.0000, 0.3661, 0.3331) x8  1 Pd 2.73
Pd (0.0000, 0.2482, 0.5000) x4  6 Sn 2.73-2.90
Pd (0.0000, 0.5000, 0.0000) x2  4 Sn 2.89

Summary:
- DFT total energy (eV per atom) = -4.32